# 1
! NpVNi2 (PBE-GGA, relaxed); values from VASP
! DFT formation energy in eV/atom: 0.30
&SYSTEM
  ibrav = 0, nat = 12, ntyp = 3
/
ATOMIC_SPECIES
Np 237.00 Np.upf
V 50.94 V.upf
Ni 58.69 Ni.upf
ATOMIC_POSITIONS angstrom
Np 0.000 0.000 0.000
Np 0.000 1.505 18.965
Np 1.303 0.753 9.482
V 0.000 0.000 14.224
V 0.000 1.505 4.741
V 1.303 0.753 23.706
Ni 0.000 0.000 2.708
Ni 0.000 0.000 25.739
Ni 0.000 1.505 16.257
Ni 0.000 1.505 21.673
Ni 1.303 0.753 6.774
Ni 1.303 0.753 12.191
CELL_PARAMETERS angstrom
2.607 0.000 0.000
-1.303 2.258 0.000
0.000 0.000 28.447

---

# 2
! NpVNi (PBE-GGA, relaxed); values from VASP
! DFT formation energy in eV/atom: 0.30
&SYSTEM
  ibrav = 0, nat = 6, ntyp = 3
/
ATOMIC_SPECIES
Np 237.00 Np.upf
V 50.94 V.upf
Ni 58.69 Ni.upf
ATOMIC_POSITIONS angstrom
Np 0.626 1.062 0.707
Np 1.879 3.187 7.463
V 0.626 3.187 2.284
V 1.879 1.062 5.886
Ni 0.626 1.062 3.676
Ni 1.879 3.187 4.494
CELL_PARAMETERS angstrom
2.505 0.000 0.000
0.000 4.249 0.000
0.000 0.000 8.171

---

# 3
! NpVNi4 (PBE-GGA, relaxed); values from VASP
! DFT formation energy in eV/atom: -0.06
&SYSTEM
  ibrav = 0, nat = 6, ntyp = 3
/
ATOMIC_SPECIES
Np 237.00 Np.upf
V 50.94 V.upf
Ni 58.69 Ni.upf
ATOMIC_POSITIONS angstrom
Np 0.000 0.000 0.000
V 1.719 1.719 1.719
Ni 4.293 2.581 2.581
Ni 2.581 4.293 2.581
Ni 2.581 2.581 4.293
Ni 4.293 4.293 4.293
CELL_PARAMETERS angstrom
0.000 3.437 3.437
3.437 0.000 3.437
3.437 3.437 0.000

---

# 4
! YNpNi17 (PBE-GGA, relaxed); values from VASP
! DFT formation energy in eV/atom: -0.13
&SYSTEM
  ibrav = 0, nat = 19, ntyp = 3
/
ATOMIC_SPECIES
Y 88.91 Y.upf
Np 237.00 Np.upf
Ni 58.69 Ni.upf
ATOMIC_POSITIONS angstrom
Y 0.000 0.000 0.000
Np 0.000 0.000 8.154
Ni -1.232 -2.116 4.085
Ni -2.448 -0.009 4.085
Ni -2.064 -1.191 6.254
Ni 0.000 0.000 2.911
Ni 0.000 -2.389 6.092
Ni -2.069 1.195 6.092
Ni 1.232 -2.116 4.085
Ni -1.216 2.125 4.085
Ni 0.000 0.000 5.305
Ni -2.048 -1.182 9.948
Ni 2.448 -0.009 4.085
Ni 1.216 2.125 4.085
Ni 2.064 -1.191 6.254
Ni 0.000 2.383 6.254
Ni 2.069 1.195 6.092
Ni 2.048 -1.182 9.948
Ni 0.000 2.365 9.948
CELL_PARAMETERS angstrom
4.134 2.387 4.018
-4.134 2.387 4.018
0.000 -4.774 4.018

---

# 5
! YNpNi4 (PBE-GGA, relaxed); values from VASP
! DFT formation energy in eV/atom: -0.21
&SYSTEM
  ibrav = 0, nat = 6, ntyp = 3
/
ATOMIC_SPECIES
Y 88.91 Y.upf
Np 237.00 Np.upf
Ni 58.69 Ni.upf
ATOMIC_POSITIONS angstrom
Y 0.000 0.000 0.000
Np 5.364 5.364 5.364
Ni 2.687 2.687 2.687
Ni 4.465 4.465 2.687
Ni 4.465 2.687 4.465
Ni 2.687 4.465 4.465
CELL_PARAMETERS angstrom
0.000 3.576 3.576
3.576 0.000 3.576
3.576 3.576 0.000

---

# 6
! Y2NpNi9 (PBE-GGA, relaxed); values from VASP
! DFT formation energy in eV/atom: -0.29
&SYSTEM
  ibrav = 0, nat = 12, ntyp = 3
/
ATOMIC_SPECIES
Y 88.91 Y.upf
Np 237.00 Np.upf
Ni 58.69 Ni.upf
ATOMIC_POSITIONS angstrom
Y 0.000 0.000 3.390
Y 0.000 0.000 21.026
Np 0.000 0.000 0.000
Ni -1.240 -0.716 10.133
Ni 0.000 0.000 8.131
Ni 0.000 -1.432 14.282
Ni -1.240 0.716 14.282
Ni 0.000 0.000 12.208
Ni 1.240 -0.716 10.133
Ni 0.000 1.432 10.133
Ni 0.000 0.000 16.284
Ni 1.240 0.716 14.282
CELL_PARAMETERS angstrom
2.479 1.431 8.138
-2.479 1.431 8.138
0.000 -2.862 8.138

---

# 7
! YNp2Ni9 (PBE-GGA, relaxed); values from VASP
! DFT formation energy in eV/atom: -0.24
&SYSTEM
  ibrav = 0, nat = 12, ntyp = 3
/
ATOMIC_SPECIES
Y 88.91 Y.upf
Np 237.00 Np.upf
Ni 58.69 Ni.upf
ATOMIC_POSITIONS angstrom
Y 0.000 0.000 0.000
Np 0.000 0.000 3.526
Np 0.000 0.000 20.905
Ni -1.226 -0.708 10.161
Ni 0.000 0.000 8.133
Ni 0.000 -1.415 14.270
Ni -1.226 0.708 14.270
Ni 0.000 0.000 12.216
Ni 1.226 -0.708 10.161
Ni 0.000 1.415 10.161
Ni 0.000 0.000 16.298
Ni 1.226 0.708 14.270
CELL_PARAMETERS angstrom
2.451 1.415 8.144
-2.451 1.415 8.144
0.000 -2.830 8.144

---

# 8
! Np2Zn2Ni15 (PBE-GGA, relaxed); values from VASP
! DFT formation energy in eV/atom: -0.10
&SYSTEM
  ibrav = 0, nat = 19, ntyp = 3
/
ATOMIC_SPECIES
Np 237.00 Np.upf
Zn 65.41 Zn.upf
Ni 58.69 Ni.upf
ATOMIC_POSITIONS angstrom
Np 0.000 0.000 1.858
Np 0.000 0.000 10.351
Zn 0.000 0.000 4.891
Zn 0.000 0.000 7.318
Ni -2.072 -1.196 4.070
Ni 0.000 -2.413 3.919
Ni -2.090 1.207 3.919
Ni -1.265 -2.191 6.105
Ni -2.530 0.000 6.105
Ni -2.090 -1.207 8.290
Ni -2.072 1.196 8.139
Ni 1.265 -2.191 6.105
Ni 0.000 2.393 4.070
Ni -1.265 2.191 6.105
Ni 2.090 1.207 3.919
Ni 2.530 0.000 6.105
Ni 1.265 2.191 6.105
Ni 2.090 -1.207 8.290
Ni 0.000 2.413 8.290
CELL_PARAMETERS angstrom
4.145 2.393 4.070
-4.145 2.393 4.070
0.000 -4.786 4.070

---

# 9
! NpZn2Ni6 (PBE-GGA, relaxed); values from VASP
! DFT formation energy in eV/atom: 0.14
&SYSTEM
  ibrav = 0, nat = 9, ntyp = 3
/
ATOMIC_SPECIES
Np 237.00 Np.upf
Zn 65.41 Zn.upf
Ni 58.69 Ni.upf
ATOMIC_POSITIONS angstrom
Np 0.000 0.000 0.000
Zn 1.944 0.000 4.493
Zn 0.000 2.723 1.491
Ni 1.944 1.312 -2.334
Ni 1.944 1.591 0.000
Ni 1.944 1.312 2.334
Ni 0.000 1.411 3.650
Ni 0.000 1.132 5.984
Ni 0.000 1.411 8.319
CELL_PARAMETERS angstrom
-1.944 2.723 5.984
1.944 -2.723 5.984
1.944 2.723 -5.984

---

# 10
! NpZn11Ni (PBE-GGA, relaxed); values from VASP
! DFT formation energy in eV/atom: -0.07
&SYSTEM
  ibrav = 0, nat = 13, ntyp = 3
/
ATOMIC_SPECIES
Np 237.00 Np.upf
Zn 65.41 Zn.upf
Ni 58.69 Ni.upf
ATOMIC_POSITIONS angstrom
Np 0.000 0.000 0.000
Zn -1.225 0.000 3.171
Zn 1.249 3.178 0.000
Zn 0.080 2.179 2.277
Zn 0.072 1.342 4.953
Zn 0.080 -2.179 2.277
Zn 2.477 1.342 1.390
Zn 1.249 -3.178 0.000
Zn 0.072 -1.342 4.953
Zn 2.468 2.179 4.066
Zn 2.477 -1.342 1.390
Zn 2.468 -2.179 4.066
Ni 1.274 0.000 3.171
CELL_PARAMETERS angstrom
2.499 -6.356 0.000
2.499 6.356 0.000
-2.449 0.000 6.343

---

# 11
! NpZnNi (PBE-GGA, relaxed); values from VASP
! DFT formation energy in eV/atom: 0.11
&SYSTEM
  ibrav = 0, nat = 12, ntyp = 3
/
ATOMIC_SPECIES
Np 237.00 Np.upf
Zn 65.41 Zn.upf
Ni 58.69 Ni.upf
ATOMIC_POSITIONS angstrom
Np 1.150 0.000 0.550
Np -0.578 1.505 7.488
Np 5.146 1.505 0.550
Np 3.418 0.000 7.488
Zn -0.614 1.505 4.595
Zn 1.186 0.000 3.443
Zn 3.382 0.000 4.595
Zn 5.182 1.505 3.443
Ni -0.485 1.505 2.020
Ni 1.057 0.000 6.018
Ni 3.511 0.000 2.020
Ni 5.053 1.505 6.018
CELL_PARAMETERS angstrom
7.992 0.000 0.000
0.000 3.011 0.000
-3.424 0.000 8.038

---

# 12
! NpZnNi2 (PBE-GGA, relaxed); values from VASP
! DFT formation energy in eV/atom: -0.04
&SYSTEM
  ibrav = 0, nat = 4, ntyp = 3
/
ATOMIC_SPECIES
Np 237.00 Np.upf
Zn 65.41 Zn.upf
Ni 58.69 Ni.upf
ATOMIC_POSITIONS angstrom
Np 0.000 0.000 0.000
Zn 0.000 0.000 3.423
Ni 1.446 1.446 1.963
Ni 1.446 1.446 4.882
CELL_PARAMETERS angstrom
2.893 0.000 0.000
0.000 2.893 0.000
0.000 0.000 6.846

---

# 13
! Np3ZnNi8 (PBE-GGA, relaxed); values from VASP
! DFT formation energy in eV/atom: -0.16
&SYSTEM
  ibrav = 0, nat = 12, ntyp = 3
/
ATOMIC_SPECIES
Np 237.00 Np.upf
Zn 65.41 Zn.upf
Ni 58.69 Ni.upf
ATOMIC_POSITIONS angstrom
Np 0.000 0.000 0.000
Np 0.000 0.000 3.023
Np 0.000 0.000 12.078
Zn 0.000 0.000 15.103
Ni -1.245 -0.719 9.516
Ni 0.000 -1.431 5.594
Ni -1.239 0.715 5.594
Ni 0.000 0.000 7.545
Ni 1.245 -0.719 9.516
Ni 0.000 1.438 9.516
Ni 1.239 0.715 5.594
Ni 0.000 0.000 19.633
CELL_PARAMETERS angstrom
2.470 1.426 8.049
-2.470 1.426 8.049
0.000 -2.852 8.049

---

# 14
! NpZn12Ni6 (PBE-GGA, relaxed); values from VASP
! DFT formation energy in eV/atom: 0.00
&SYSTEM
  ibrav = 0, nat = 19, ntyp = 3
/
ATOMIC_SPECIES
Np 237.00 Np.upf
Zn 65.41 Zn.upf
Ni 58.69 Ni.upf
ATOMIC_POSITIONS angstrom
Np 0.000 0.000 0.000
Zn -2.095 -3.629 4.186
Zn -4.190 0.000 4.186
Zn -1.410 -0.814 2.655
Zn 1.410 -0.814 2.655
Zn 0.000 1.628 2.655
Zn 2.095 -3.629 4.186
Zn -2.095 3.629 4.186
Zn 0.000 -1.628 5.717
Zn -1.410 0.814 5.717
Zn 1.410 0.814 5.717
Zn 4.190 0.000 4.186
Zn 2.095 3.629 4.186
Ni 0.000 -2.680 3.489
Ni -2.321 1.340 3.489
Ni -2.321 -1.340 4.883
Ni 2.321 1.340 3.489
Ni 2.321 -1.340 4.883
Ni 0.000 2.680 4.883
CELL_PARAMETERS angstrom
5.434 3.137 2.791
-5.434 3.137 2.791
0.000 -6.275 2.791

---

# 15
! NpZnNi6 (PBE-GGA, relaxed); values from VASP
! DFT formation energy in eV/atom: 0.02
&SYSTEM
  ibrav = 0, nat = 8, ntyp = 3
/
ATOMIC_SPECIES
Np 237.00 Np.upf
Zn 65.41 Zn.upf
Ni 58.69 Ni.upf
ATOMIC_POSITIONS angstrom
Np 0.000 0.000 0.000
Zn 3.115 3.150 5.237
Ni 1.557 1.575 1.383
Ni 3.115 3.150 2.691
Ni 1.557 1.575 3.854
Ni 4.672 4.725 6.620
Ni 3.115 3.150 7.784
Ni 4.672 4.725 9.092
CELL_PARAMETERS angstrom
0.000 3.150 5.237
3.115 0.000 5.237
3.115 3.150 0.000

---

# 16
! NpZn2Ni9 (PBE-GGA, relaxed); values from VASP
! DFT formation energy in eV/atom: -0.10
&SYSTEM
  ibrav = 0, nat = 12, ntyp = 3
/
ATOMIC_SPECIES
Np 237.00 Np.upf
Zn 65.41 Zn.upf
Ni 58.69 Ni.upf
ATOMIC_POSITIONS angstrom
Np 0.000 0.000 0.000
Zn 0.000 0.000 3.383
Zn 0.000 0.000 19.928
Ni -1.212 -0.699 9.771
Ni 0.000 0.000 7.789
Ni 0.000 -1.399 13.540
Ni -1.212 0.699 13.540
Ni 0.000 0.000 11.655
Ni 1.212 -0.699 9.771
Ni 0.000 1.399 9.771
Ni 0.000 0.000 15.522
Ni 1.212 0.699 13.540
CELL_PARAMETERS angstrom
2.394 1.382 7.770
-2.394 1.382 7.770
0.000 -2.764 7.770

---

# 17
! NpZn8Ni4 (PBE-GGA, relaxed); values from VASP
! DFT formation energy in eV/atom: -0.14
&SYSTEM
  ibrav = 0, nat = 13, ntyp = 3
/
ATOMIC_SPECIES
Np 237.00 Np.upf
Zn 65.41 Zn.upf
Ni 58.69 Ni.upf
ATOMIC_POSITIONS angstrom
Np 0.000 0.000 0.000
Zn 2.960 0.000 0.000
Zn 5.656 0.000 0.000
Zn 4.308 2.391 0.000
Zn 0.000 2.960 0.000
Zn 2.391 4.308 0.000
Zn 1.917 0.000 2.525
Zn 0.000 5.656 0.000
Zn 0.000 1.917 2.525
Ni 2.154 2.154 -1.263
Ni 2.154 -2.154 1.263
Ni -2.154 2.154 1.263
Ni 2.154 2.154 1.263
CELL_PARAMETERS angstrom
-4.308 4.308 2.525
4.308 -4.308 2.525
4.308 4.308 -2.525

---

# 18
! NpZn7Ni5 (PBE-GGA, relaxed); values from VASP
! DFT formation energy in eV/atom: -0.15
&SYSTEM
  ibrav = 0, nat = 13, ntyp = 3
/
ATOMIC_SPECIES
Np 237.00 Np.upf
Zn 65.41 Zn.upf
Ni 58.69 Ni.upf
ATOMIC_POSITIONS angstrom
Np 0.000 0.000 0.000
Zn 2.500 1.836 0.276
Zn 2.500 0.000 2.203
Zn 0.000 0.000 3.034
Zn 0.000 2.977 0.387
Zn 0.000 0.000 5.688
Zn 0.000 5.601 0.387
Zn 0.000 2.453 4.541
Ni 1.232 2.119 -1.822
Ni 1.267 -2.170 2.444
Ni 1.232 6.458 -1.822
Ni 1.267 2.170 2.444
Ni 0.000 4.289 2.681
CELL_PARAMETERS angstrom
-2.500 4.289 4.265
2.500 -4.289 4.265
2.500 4.289 -4.265

---

# 19
! NpZnNi (PBE-GGA, relaxed); values from VASP
! DFT formation energy in eV/atom: 0.01
&SYSTEM
  ibrav = 0, nat = 6, ntyp = 3
/
ATOMIC_SPECIES
Np 237.00 Np.upf
Zn 65.41 Zn.upf
Ni 58.69 Ni.upf
ATOMIC_POSITIONS angstrom
Np 0.000 0.000 0.000
Np 1.407 1.407 6.013
Zn 0.000 0.000 3.572
Zn 1.407 1.407 9.585
Ni 0.000 0.000 8.050
Ni 1.407 1.407 2.037
CELL_PARAMETERS angstrom
2.813 0.000 0.000
0.000 2.813 0.000
0.000 0.000 12.027

---

# 20
! Zr2NpNi (PBE-GGA, relaxed); values from VASP
! DFT formation energy in eV/atom: 0.03
&SYSTEM
  ibrav = 0, nat = 4, ntyp = 3
/
ATOMIC_SPECIES
Zr 91.22 Zr.upf
Np 237.00 Np.upf
Ni 58.69 Ni.upf
ATOMIC_POSITIONS angstrom
Zr 0.000 0.000 1.629
Zr 0.000 0.000 6.167
Np 1.598 1.598 3.898
Ni 1.598 1.598 0.000
CELL_PARAMETERS angstrom
3.196 0.000 0.000
0.000 3.196 0.000
0.000 0.000 7.796

---

# 21
! Zr2NpNi9 (PBE-GGA, relaxed); values from VASP
! DFT formation energy in eV/atom: -0.32
&SYSTEM
  ibrav = 0, nat = 12, ntyp = 3
/
ATOMIC_SPECIES
Zr 91.22 Zr.upf
Np 237.00 Np.upf
Ni 58.69 Ni.upf
ATOMIC_POSITIONS angstrom
Zr 0.000 0.000 3.325
Zr 0.000 0.000 20.578
Np 0.000 0.000 0.000
Ni -1.234 -0.713 9.994
Ni 0.000 0.000 7.973
Ni 0.000 -1.425 13.909
Ni -1.234 0.713 13.909
Ni 0.000 0.000 11.951
Ni 1.234 -0.713 9.994
Ni 0.000 1.425 9.994
Ni 0.000 0.000 15.930
Ni 1.234 0.713 13.909
CELL_PARAMETERS angstrom
2.442 1.410 7.968
-2.442 1.410 7.968
0.000 -2.819 7.968

---

# 22
! Zr2NpNi (PBE-GGA, relaxed); values from VASP
! DFT formation energy in eV/atom: 0.15
&SYSTEM
  ibrav = 0, nat = 4, ntyp = 3
/
ATOMIC_SPECIES
Zr 91.22 Zr.upf
Np 237.00 Np.upf
Ni 58.69 Ni.upf
ATOMIC_POSITIONS angstrom
Zr 0.000 2.493 0.000
Zr 2.493 0.000 0.000
Np 0.000 0.000 1.543
Ni 2.493 2.493 1.543
CELL_PARAMETERS angstrom
4.986 0.000 0.000
0.000 4.986 0.000
0.000 0.000 3.087